An optimized crystal structure of Sc2CrCdS, computed with GGA-PBE.

Computed properties:
Its space group is P4/mmm, No. 123. The calculation puts the density at 3.49 g/cm3. Its density of states at the Fermi level is 0.578 states/eV per atom. The raw formation energy is 67.0 kJ per mole of atoms. For the total energy, the calculation gives -4.771 eV/atom. The value obtained for the volume is 27.26 Å³ per atom.

Lattice parameters (Å, degrees): 5.265 4.916 5.265 90.00 90.00 90.00
Each line ends with the local moment (μB).
Fractional coordinates of all 5 atoms:
Cr: 0.000 0.500 0.000  3.83
Cd: 0.000 0.000 0.000  -0.02
S: 0.500 0.500 0.500  0.03
Sc: 0.000 0.000 0.500  -0.05
Sc: 0.500 0.000 0.000  -0.21